14
Lattice="-2.782 -4.231 -3.408 -1.346 0.510 5.931 -5.911 0.607 -1.394" Properties=species:S:1:pos:R:3 comment="PBE+U CoRh2O4, relaxed" total_energy_ev_per_atom=-6.4613 total_magnetization_mub_per_fu=2.90 pbc="T T T"
Co -8.437 -2.196 1.414
Co -1.603 -0.918 -0.285
Rh -5.020 -1.557 0.565
Rh -6.584 0.862 1.572
Rh -3.629 0.559 2.269
Rh -5.693 -1.302 3.530
O -6.708 -1.205 1.721
O -3.986 -1.485 2.363
O -5.427 0.743 3.291
O -4.613 -3.857 -2.162
O -3.332 -1.909 -0.592
O -4.807 0.508 0.560
O -6.054 -1.629 -1.234
O -5.233 -3.622 0.570